No. 1
A plane-wave DFT calculation with GGA-PBE was carried out for a geometry-optimized Na2GaCu2 structure.

```
Na2GaCu2
1.0
6.342 0.000 0.000
0.000 6.342 0.000
0.000 0.000 4.905
Na Ga Cu
4 2 4
Direct
0.177 0.323 0.000
0.323 0.823 0.000
0.677 0.177 0.000
0.823 0.677 0.000
0.000 0.000 0.500
0.500 0.500 0.500
0.136 0.636 0.500
0.364 0.136 0.500
0.636 0.864 0.500
0.864 0.364 0.500
```

No. 2
A plane-wave DFT calculation with GGA-PBE was carried out for a geometry-optimized Na2Ga5Cu3 structure.

```
Na2Ga5Cu3
1.0
2.131 -12.057 0.000
2.131 12.057 0.000
0.000 0.000 6.764
Na Ga Cu
4 10 6
Direct
0.019 0.981 0.500
0.324 0.676 0.552
0.676 0.324 0.052
0.981 0.019 0.000
0.102 0.898 0.854
0.206 0.794 0.371
0.210 0.790 0.766
0.376 0.624 0.003
0.447 0.553 0.673
0.553 0.447 0.173
0.624 0.376 0.503
0.790 0.210 0.266
0.794 0.206 0.871
0.898 0.102 0.354
0.110 0.890 0.240
0.272 0.728 0.075
0.449 0.551 0.287
0.551 0.449 0.787
0.728 0.272 0.575
0.890 0.110 0.740
```

No. 3
A plane-wave DFT calculation with GGA-PBE was carried out for a geometry-optimized NaGa2Cu structure.

```
NaGa2Cu
1.0
4.088 0.000 0.000
0.000 5.491 0.000
0.000 0.000 6.933
Na Ga Cu
2 4 2
Direct
0.250 0.250 0.061
0.750 0.750 0.939
0.250 0.509 0.643
0.250 0.991 0.643
0.750 0.009 0.357
0.750 0.491 0.357
0.250 0.750 0.321
0.750 0.250 0.679
```

No. 4
A plane-wave DFT calculation with GGA-PBE was carried out for a geometry-optimized NaGaCu4 structure.

```
NaGaCu4
1.0
0.000 3.530 3.530
3.530 0.000 3.530
3.530 3.530 0.000
Na Ga Cu
1 1 4
Direct
0.000 0.000 0.000
0.250 0.250 0.250
0.125 0.625 0.625
0.625 0.125 0.625
0.625 0.625 0.125
0.625 0.625 0.625
```

No. 5
A plane-wave DFT calculation with GGA-PBE was carried out for a geometry-optimized NaGa11Cu structure.

```
NaGa11Cu
1.0
2.629 -6.302 0.000
2.629 6.302 0.000
-1.540 0.000 7.543
Na Ga Cu
1 11 1
Direct
0.000 0.000 0.000
0.000 0.000 0.500
0.000 0.500 0.000
0.034 0.382 0.362
0.262 0.474 0.770
0.382 0.034 0.362
0.474 0.262 0.770
0.500 0.000 0.000
0.526 0.738 0.230
0.618 0.966 0.638
0.738 0.526 0.230
0.966 0.618 0.638
0.500 0.500 0.500
```

No. 6
A plane-wave DFT calculation with GGA-PBE was carried out for a geometry-optimized Na2Ga3Cu2 structure.

```
Na2Ga3Cu2
1.0
10.655 0.000 0.000
0.000 4.169 0.000
-3.653 0.000 6.127
Na Ga Cu
4 6 4
Direct
0.145 0.000 0.271
0.355 0.500 0.729
0.645 0.500 0.271
0.855 0.000 0.729
0.000 0.500 0.500
0.151 0.500 0.940
0.349 0.000 0.060
0.500 0.000 0.500
0.651 0.000 0.940
0.849 0.500 0.060
0.113 0.000 0.698
0.387 0.500 0.302
0.613 0.500 0.698
0.887 0.000 0.302
```

No. 7
A plane-wave DFT calculation with GGA-PBE was carried out for a geometry-optimized NaGa9Cu3 structure.

```
NaGa9Cu3
1.0
2.574 -6.830 0.000
2.574 6.830 0.000
-2.318 0.000 6.295
Na Ga Cu
1 9 3
Direct
0.000 0.000 0.000
0.000 0.000 0.500
0.021 0.663 0.661
0.299 0.519 0.787
0.337 0.979 0.339
0.481 0.701 0.213
0.519 0.299 0.787
0.663 0.021 0.661
0.701 0.481 0.213
0.979 0.337 0.339
0.000 0.500 0.000
0.500 0.000 0.000
0.500 0.500 0.500
```

No. 8
A plane-wave DFT calculation with GGA-PBE was carried out for a geometry-optimized Na2Ga6Cu structure.

```
Na2Ga6Cu
1.0
5.203 -3.004 0.000
5.203 3.004 0.000
-0.004 0.000 5.604
Na Ga Cu
2 6 1
Direct
0.167 0.167 0.346
0.833 0.833 0.654
0.149 0.676 0.176
0.324 0.851 0.824
0.325 0.325 0.823
0.675 0.675 0.177
0.676 0.149 0.176
0.851 0.324 0.824
0.500 0.500 0.500
```

No. 9
A plane-wave DFT calculation with GGA-PBE was carried out for a geometry-optimized NaGa3Cu2 structure.

```
NaGa3Cu2
1.0
5.017 -4.229 0.000
5.017 4.229 0.000
0.000 0.000 5.006
Na Ga Cu
2 6 4
Direct
0.145 0.855 0.750
0.855 0.145 0.250
0.041 0.581 0.250
0.419 0.959 0.250
0.438 0.562 0.250
0.562 0.438 0.750
0.581 0.041 0.750
0.959 0.419 0.750
0.278 0.278 0.000
0.278 0.278 0.500
0.722 0.722 0.000
0.722 0.722 0.500
```

No. 10
A plane-wave DFT calculation with GGA-PBE was carried out for a geometry-optimized NaGa2Cu2 structure.

```
NaGa2Cu2
1.0
4.192 0.000 0.000
0.000 4.192 0.000
0.000 0.000 10.325
Na Ga Cu
2 4 4
Direct
0.000 0.000 0.000
0.500 0.500 0.500
0.000 0.000 0.375
0.000 0.000 0.625
0.500 0.500 0.125
0.500 0.500 0.875
0.000 0.500 0.250
0.000 0.500 0.750
0.500 0.000 0.250
0.500 0.000 0.750
```

No. 11
A plane-wave DFT calculation with GGA-PBE was carried out for a geometry-optimized NaGa6Cu2 structure.

```
NaGa6Cu2
1.0
0.000 5.794 5.794
5.794 0.000 5.794
5.794 5.794 0.000
Na Ga Cu
2 12 4
Direct
0.125 0.125 0.125
0.875 0.875 0.875
0.131 0.131 0.619
0.131 0.619 0.131
0.131 0.619 0.619
0.381 0.381 0.869
0.381 0.869 0.381
0.381 0.869 0.869
0.619 0.131 0.131
0.619 0.131 0.619
0.619 0.619 0.131
0.869 0.381 0.381
0.869 0.381 0.869
0.869 0.869 0.381
0.000 0.500 0.500
0.500 0.000 0.500
0.500 0.500 0.000
0.500 0.500 0.500
```

No. 12
A plane-wave DFT calculation with GGA-PBE was carried out for a geometry-optimized NaGa4Cu2 structure.

```
NaGa4Cu2
1.0
6.739 0.000 0.000
0.000 6.739 0.000
0.000 0.000 5.065
Na Ga Cu
2 8 4
Direct
0.000 0.000 0.000
0.500 0.500 0.500
0.198 0.198 0.500
0.198 0.802 0.500
0.302 0.302 0.000
0.302 0.698 0.000
0.698 0.302 0.000
0.698 0.698 0.000
0.802 0.198 0.500
0.802 0.802 0.500
0.000 0.500 0.250
0.000 0.500 0.750
0.500 0.000 0.250
0.500 0.000 0.750
```

No. 13
A plane-wave DFT calculation with GGA-PBE was carried out for a geometry-optimized NaGa2Cu structure.

```
NaGa2Cu
1.0
4.257 0.000 0.000
-2.129 3.687 0.000
0.000 0.000 15.850
Na Ga Cu
3 6 3
Direct
0.000 0.000 0.000
0.333 0.667 0.667
0.667 0.333 0.333
0.000 0.000 0.537
0.000 0.000 0.800
0.333 0.667 0.204
0.333 0.667 0.467
0.667 0.333 0.133
0.667 0.333 0.870
0.000 0.000 0.184
0.333 0.667 0.851
0.667 0.333 0.517
```

No. 14
A plane-wave DFT calculation with GGA-PBE was carried out for a geometry-optimized NaGa2Cu2 structure.

```
NaGa2Cu2
1.0
7.768 0.000 0.000
0.000 7.768 0.000
0.000 0.000 2.620
Na Ga Cu
2 4 4
Direct
0.000 0.000 0.000
0.500 0.500 0.000
0.145 0.355 0.500
0.355 0.855 0.500
0.645 0.145 0.500
0.855 0.645 0.500
0.150 0.650 0.000
0.350 0.150 0.000
0.650 0.850 0.000
0.850 0.350 0.000
```

No. 15
A plane-wave DFT calculation with GGA-PBE was carried out for a geometry-optimized NaGaCuO3 structure.

```
NaGaCuO3
1.0
6.178 0.000 0.000
0.000 2.913 0.000
-0.919 0.000 8.829
Na Ga Cu O
2 2 2 6
Direct
0.160 0.250 0.231
0.840 0.750 0.769
0.371 0.750 0.884
0.629 0.250 0.116
0.169 0.250 0.576
0.831 0.750 0.424
0.183 0.250 0.806
0.193 0.750 0.444
0.396 0.750 0.104
0.604 0.250 0.896
0.807 0.250 0.556
0.817 0.750 0.194
```

E_form (uncorrected) ... -1.24 eV per atom

No. 16
A plane-wave DFT calculation with GGA-PBE was carried out for a geometry-optimized Na2GaCuO4 structure.

```
Na2GaCuO4
1.0
5.980 0.000 0.000
0.000 5.980 0.000
0.000 0.000 5.485
Na Ga Cu O
4 2 2 8
Direct
0.000 0.500 0.000
0.000 0.500 0.500
0.500 0.000 0.000
0.500 0.000 0.500
0.000 0.000 0.000
0.500 0.500 0.500
0.000 0.000 0.500
0.500 0.500 0.000
0.157 0.157 0.243
0.157 0.843 0.757
0.343 0.343 0.743
0.343 0.657 0.257
0.657 0.343 0.257
0.657 0.657 0.743
0.843 0.157 0.757
0.843 0.843 0.243
```

E_form (uncorrected) ... -1.16 eV per atom

No. 17
A plane-wave DFT calculation with GGA-PBE was carried out for a geometry-optimized NaPmGaCu structure.

```
NaPmGaCu
1.0
7.055 0.000 0.000
0.000 7.055 0.000
0.000 0.000 7.055
Na Pm Ga Cu
4 4 4 4
Direct
0.000 0.000 0.000
0.000 0.500 0.500
0.500 0.000 0.500
0.500 0.500 0.000
0.000 0.000 0.500
0.000 0.500 0.000
0.500 0.000 0.000
0.500 0.500 0.500
0.250 0.250 0.250
0.250 0.750 0.750
0.750 0.250 0.750
0.750 0.750 0.250
0.250 0.250 0.750
0.250 0.750 0.250
0.750 0.250 0.250
0.750 0.750 0.750
```

No. 18
A plane-wave DFT calculation with GGA-PBE was carried out for a geometry-optimized NaGa4CuPt2 structure.

```
NaGa4CuPt2
1.0
2.210 1.276 7.405
-2.210 1.276 7.405
0.000 -2.552 7.405
Na Ga Cu Pt
1 4 1 2
Direct
0.000 0.000 0.000
0.129 0.129 0.129
0.381 0.381 0.381
0.619 0.619 0.619
0.871 0.871 0.871
0.500 0.500 0.500
0.251 0.251 0.251
0.749 0.749 0.749
```

No. 19
A plane-wave DFT calculation with GGA-PBE was carried out for a geometry-optimized RbNa2GaCu structure.

```
RbNa2GaCu
1.0
5.849 0.000 0.000
0.000 5.849 0.000
0.000 0.000 4.750
Rb Na Ga Cu
1 2 1 1
Direct
0.000 0.000 0.000
0.000 0.500 0.500
0.500 0.000 0.500
0.500 0.500 0.500
0.500 0.500 0.000
```

No. 20
A plane-wave DFT calculation with GGA-PBE was carried out for a geometry-optimized RbNa2GaCu structure.

```
RbNa2GaCu
1.0
5.759 0.000 0.000
0.000 5.759 0.000
0.000 0.000 4.714
Rb Na Ga Cu
1 2 1 1
Direct
0.000 0.000 0.000
0.000 0.500 0.500
0.500 0.000 0.500
0.500 0.500 0.000
0.500 0.500 0.500
```

Respective magnetic moment values: 0.0; 0.0; 0.0; 0.0; 0.0; 0.0; 0.0; 0.0; 0.0; 0.0; 0.0; 0.0; 0.0; 0.0; 0.9; 2.0; 0.0; 0.0; 0.0; 0.0 μB per formula unit.
Respective total DFT energy (no corrections) values: -2.67; -3.07; -2.95; -3.39; -2.99; -2.96; -3.19; -2.85; -3.22; -3.14; -2.90; -3.15; -2.94; -3.18; -5.13; -4.85; -3.40; -4.02; -2.01; -2.06 eV/atom.